1.
Rb2Ag3I5 | PBE-GGA | optimized geometry

energy relative to the elements, uncorrected = -0.696 eV/atom
symmetry = Ibam (72)

Structure (CIF):
```
data_Rb2Ag3I5
_cell_length_a 8.251
_cell_length_b 11.625
_cell_length_c 11.625
_cell_angle_alpha 51.39
_cell_angle_beta 69.21
_cell_angle_gamma 69.21
_space_group_name_H-M_alt 'P 1'
_space_group_IT_number 1
loop_
_space_group_symop_operation_xyz
'x,y,z'
loop_
_atom_site_label
_atom_site_type_symbol
_atom_site_fract_x
_atom_site_fract_y
_atom_site_fract_z
I1 I 0.538 0.712 0.712
I2 I 0.081 0.052 0.787
I3 I 0.250 0.500 0.500
I4 I 0.962 0.288 0.288
I5 I 0.919 0.948 0.213
I6 I 0.750 0.500 0.500
I7 I 0.038 0.712 0.712
I8 I 0.419 0.213 0.948
I9 I 0.581 0.787 0.052
I10 I 0.462 0.288 0.288
Ag1 Ag 0.894 0.686 0.526
Ag2 Ag 0.750 0.000 0.000
Ag3 Ag 0.106 0.314 0.474
Ag4 Ag 0.394 0.526 0.686
Ag5 Ag 0.250 0.000 0.000
Ag6 Ag 0.606 0.474 0.314
Rb1 Rb 0.339 0.954 0.368
Rb2 Rb 0.161 0.632 0.046
Rb3 Rb 0.839 0.368 0.954
Rb4 Rb 0.661 0.046 0.632
```

2.
Tb2NdAu | PBE-GGA | optimized geometry

symmetry = R-3m (166)

Structure (CIF):
```
data_Tb2NdAu
_cell_length_a 3.731
_cell_length_b 3.731
_cell_length_c 10.334
_cell_angle_alpha 79.60
_cell_angle_beta 79.60
_cell_angle_gamma 60.00
_space_group_name_H-M_alt 'P 1'
_space_group_IT_number 1
loop_
_space_group_symop_operation_xyz
'x,y,z'
loop_
_atom_site_label
_atom_site_type_symbol
_atom_site_fract_x
_atom_site_fract_y
_atom_site_fract_z
Au1 Au 0.000 0.000 0.000
Tb1 Tb 0.265 0.265 0.205
Tb2 Tb 0.735 0.735 0.795
Nd1 Nd 0.500 0.500 0.500
```

3.
Nd2GdCd | PBE-GGA | optimized geometry

symmetry = P4/mmm (123)

Structure (CIF):
```
data_Nd2GdCd
_cell_length_a 3.844
_cell_length_b 5.645
_cell_length_c 5.645
_cell_angle_alpha 90.00
_cell_angle_beta 90.00
_cell_angle_gamma 90.00
_space_group_name_H-M_alt 'P 1'
_space_group_IT_number 1
loop_
_space_group_symop_operation_xyz
'x,y,z'
loop_
_atom_site_label
_atom_site_type_symbol
_atom_site_fract_x
_atom_site_fract_y
_atom_site_fract_z
Cd1 Cd 0.500 0.000 0.000
Nd1 Nd 0.000 0.500 0.000
Nd2 Nd 0.000 0.000 0.500
Gd1 Gd 0.500 0.500 0.500
```

4.
La2Pr3NdTe6 | PBE-GGA | optimized geometry

energy relative to the elements, uncorrected = -1.492 eV/atom
symmetry = C2/m (12)

Structure (CIF):
```
data_La2Pr3NdTe6
_cell_length_a 4.533
_cell_length_b 9.115
_cell_length_c 10.143
_cell_angle_alpha 102.77
_cell_angle_beta 102.91
_cell_angle_gamma 90.00
_space_group_name_H-M_alt 'P 1'
_space_group_IT_number 1
loop_
_space_group_symop_operation_xyz
'x,y,z'
loop_
_atom_site_label
_atom_site_type_symbol
_atom_site_fract_x
_atom_site_fract_y
_atom_site_fract_z
Te1 Te 0.334 0.918 0.668
Te2 Te 0.666 0.082 0.332
Te3 Te 0.001 0.752 0.002
Te4 Te 0.667 0.585 0.333
Te5 Te 0.999 0.248 0.998
Te6 Te 0.333 0.415 0.667
Pr1 Pr 0.500 0.500 0.000
Pr2 Pr 0.167 0.834 0.334
Pr3 Pr 0.833 0.166 0.666
La1 La 0.834 0.668 0.669
La2 La 0.166 0.332 0.331
Nd1 Nd 0.500 0.000 0.000
```

5.
ThNpTl2Se4 | PBE-GGA | optimized geometry

energy relative to the elements, uncorrected = -1.051 eV/atom
symmetry = P2/m (10)

Structure (CIF):
```
data_ThNpTl2Se4
_cell_length_a 4.254
_cell_length_b 7.331
_cell_length_c 8.248
_cell_angle_alpha 107.34
_cell_angle_beta 90.00
_cell_angle_gamma 90.00
_space_group_name_H-M_alt 'P 1'
_space_group_IT_number 1
loop_
_space_group_symop_operation_xyz
'x,y,z'
loop_
_atom_site_label
_atom_site_type_symbol
_atom_site_fract_x
_atom_site_fract_y
_atom_site_fract_z
Th1 Th 0.000 0.000 0.000
Tl1 Tl 0.500 0.000 0.500
Tl2 Tl 0.000 0.500 0.500
Se1 Se 0.500 0.236 0.211
Se2 Se 0.000 0.735 0.206
Se3 Se 0.500 0.764 0.789
Se4 Se 0.000 0.265 0.794
Np1 Np 0.500 0.500 0.000
```

6.
Li5I4Br | PBE-GGA | optimized geometry

energy relative to the elements, uncorrected = -1.277 eV/atom
symmetry = P3m1 (156)

Structure (CIF):
```
data_Li5I4Br
_cell_length_a 4.495
_cell_length_b 4.495
_cell_length_c 36.439
_cell_angle_alpha 90.00
_cell_angle_beta 90.00
_cell_angle_gamma 120.00
_space_group_name_H-M_alt 'P 1'
_space_group_IT_number 1
loop_
_space_group_symop_operation_xyz
'x,y,z'
loop_
_atom_site_label
_atom_site_type_symbol
_atom_site_fract_x
_atom_site_fract_y
_atom_site_fract_z
I1 I 0.667 0.333 0.391
I2 I 0.667 0.333 0.597
I3 I 0.667 0.333 0.803
I4 I 0.333 0.667 0.700
I5 I 0.667 0.333 0.009
I6 I 0.333 0.667 0.494
I7 I 0.333 0.667 0.906
I8 I 0.667 0.333 0.200
Li1 Li 0.667 0.333 0.727
Li2 Li 0.667 0.333 0.521
Li3 Li 0.667 0.333 0.313
Li4 Li 0.333 0.667 0.226
Li5 Li 0.667 0.333 0.122
Li6 Li 0.333 0.667 0.036
Li7 Li 0.333 0.667 0.830
Li8 Li 0.333 0.667 0.417
Li9 Li 0.667 0.333 0.932
Li10 Li 0.333 0.667 0.624
Br1 Br 0.333 0.667 0.296
Br2 Br 0.333 0.667 0.105
```

Let's list electronic total energy in order: -2.520; -4.605; -6.232; -5.477; -5.929; -3.021 eV per atom.